Entry 1:
## La2SbOsC (PBE)

Data for La2SbOsC after structural relaxation.

Computed properties:
- polymorph energy (0 for the lowest one) (meV/atom) = 1850.6
- total DFT energy (no corrections) (eV/atom) = -5.4956
- raw formation energy (eV/atom) = 1.39
- D(E_F) (states/eV/cell) = 5.007
- crystal system = tetragonal

```
data_La2SbOsC
_space_group_name_H-M_alt 'P 4/m m m'
_space_group_IT_number 123
_space_group_name_Hall '-P 4 2'
_cell_length_a 5.9271
_cell_length_b 5.9271
_cell_length_c 4.0662
_cell_angle_alpha 90.00
_cell_angle_beta 90.00
_cell_angle_gamma 90.00
loop_
_atom_site_label
_atom_site_type_symbol
_atom_site_fract_x
_atom_site_fract_y
_atom_site_fract_z
_atom_site_occupancy
La1 La 0.0000 0.5000 0.0000 1
Sb1 Sb 0.0000 0.0000 0.0000 1
Os1 Os 0.5000 0.5000 0.5000 1
C1 C 0.0000 0.0000 0.5000 1
```

***

Entry 2:
## BeGe2Pd2 (PBE)

Data for BeGe2Pd2 after structural relaxation.

Computed properties:
- polymorph energy (0 for the lowest one) (meV/atom) = 0.0
- total DFT energy (no corrections) (eV/atom) = -4.7907
- D(E_F) (states/eV/cell) = 3.085
- crystal system = tetragonal
- formation energy (eV per formula unit) = -0.61

```
data_BeGe2Pd2
_space_group_name_H-M_alt 'P 4/m b m'
_space_group_IT_number 127
_space_group_name_Hall '-P 4 2ab'
_cell_length_a 6.2259
_cell_length_b 6.2259
_cell_length_c 4.0601
_cell_angle_alpha 90.00
_cell_angle_beta 90.00
_cell_angle_gamma 90.00
loop_
_atom_site_label
_atom_site_type_symbol
_atom_site_fract_x
_atom_site_fract_y
_atom_site_fract_z
_atom_site_occupancy
Be1 Be 0.0000 0.0000 0.0000 1
Ge1 Ge 0.1532 0.3468 0.5000 1
Pd1 Pd 0.1657 0.6657 0.0000 1
```

***

Entry 3:
## Tb2Sm2ErTm2 (PBE)

Data for Tb2Sm2ErTm2 after structural relaxation.

Computed properties:
- total DFT energy (no corrections) (eV/atom) = -4.4635
- D(E_F) (states/eV/cell) = 49.061
- crystal system = trigonal
- formation energy (eV per formula unit) = 0.96

```
data_Tb2Sm2ErTm2
_space_group_name_H-M_alt 'R -3 m'
_space_group_IT_number 166
_space_group_name_Hall '-R 3 2"'
_cell_length_a 5.6470
_cell_length_b 5.6470
_cell_length_c 24.4079
_cell_angle_alpha 90.00
_cell_angle_beta 90.00
_cell_angle_gamma 120.00
loop_
_atom_site_label
_atom_site_type_symbol
_atom_site_fract_x
_atom_site_fract_y
_atom_site_fract_z
_atom_site_occupancy
Tb1 Tb 0.0000 0.0000 0.2146 1
Sm1 Sm 0.0000 0.0000 0.3611 1
Er1 Er 0.0000 0.0000 0.5000 1
Tm1 Tm 0.0000 0.0000 0.0717 1
```

***

Entry 4:
## Li2Hg2Pd (PBE)

Data for Li2Hg2Pd after structural relaxation.

Computed properties:
- polymorph energy (0 for the lowest one) (meV/atom) = 19.1
- total DFT energy (no corrections) (eV/atom) = -2.2688
- D(E_F) (states/eV/cell) = 5.123
- crystal system = monoclinic
- formation energy (eV per formula unit) = -1.72

```
data_Li2Hg2Pd
_space_group_name_H-M_alt 'C 1 2/c 1'
_space_group_IT_number 15
_cell_length_a 10.0245
_cell_length_b 4.9660
_cell_length_c 7.5211
_cell_angle_alpha 90.00
_cell_angle_beta 111.41
_cell_angle_gamma 90.00
loop_
_space_group_symop_operation_xyz
'x,y,z'
'-x,-y,-z'
'-x,y,-z+1/2'
'x,-y,z+1/2'
'x+1/2,y+1/2,z'
'-x+1/2,-y+1/2,-z'
'-x+1/2,y+1/2,-z+1/2'
'x+1/2,-y+1/2,z+1/2'
loop_
_atom_site_label
_atom_site_type_symbol
_atom_site_fract_x
_atom_site_fract_y
_atom_site_fract_z
_atom_site_occupancy
Li1 Li 0.0947 0.1768 0.4522 1
Hg1 Hg 0.1876 0.3228 0.1457 1
Pd1 Pd 0.0000 0.3189 0.7500 1
```

***

Entry 5:
## AsRh (PBE)

Data for AsRh after structural relaxation.

Computed properties:
- total DFT energy (no corrections) (eV/atom) = -6.2690
- D(E_F) (states/eV/cell) = 7.371
- crystal system = monoclinic
- formation energy (eV per formula unit) = -0.54

```
data_AsRh
_space_group_name_H-M_alt 'C 1 m 1'
_space_group_IT_number 8
_cell_length_a 8.9128
_cell_length_b 3.2314
_cell_length_c 6.8773
_cell_angle_alpha 90.00
_cell_angle_beta 108.05
_cell_angle_gamma 90.00
loop_
_space_group_symop_operation_xyz
'x,y,z'
'x,-y,z'
'x+1/2,y+1/2,z'
'x+1/2,-y+1/2,z'
loop_
_atom_site_label
_atom_site_type_symbol
_atom_site_fract_x
_atom_site_fract_y
_atom_site_fract_z
_atom_site_occupancy
As1 As 0.0000 0.0000 0.0000 1
As2 As 0.0877 0.0000 0.6204 1
As3 As 0.2429 0.5000 0.3453 1
Rh1 Rh 0.2099 0.5000 0.9325 1
Rh2 Rh 0.3822 0.0000 0.6819 1
Rh3 Rh 0.4329 0.0000 0.2826 1
```

***

Entry 6:
## Ta2Rh2W (PBE)

Data for Ta2Rh2W after structural relaxation.

Computed properties:
- total DFT energy (no corrections) (eV/atom) = -10.3825
- D(E_F) (states/eV/cell) = 6.873
- crystal system = tetragonal
- formation energy (eV per formula unit) = -0.55

```
data_Ta2Rh2W
_space_group_name_H-M_alt 'P 4/m b m'
_space_group_IT_number 127
_space_group_name_Hall '-P 4 2ab'
_cell_length_a 7.4868
_cell_length_b 7.4868
_cell_length_c 2.9491
_cell_angle_alpha 90.00
_cell_angle_beta 90.00
_cell_angle_gamma 90.00
loop_
_atom_site_label
_atom_site_type_symbol
_atom_site_fract_x
_atom_site_fract_y
_atom_site_fract_z
_atom_site_occupancy
Ta1 Ta 0.1716 0.3284 0.0000 1
Rh1 Rh 0.1289 0.6289 0.5000 1
W1 W 0.0000 0.0000 0.5000 1
```

***

Entry 7:
## Li2AcNdS4 (PBE)

Data for Li2AcNdS4 after structural relaxation.

Computed properties:
- total DFT energy (no corrections) (eV/atom) = -5.4186
- raw formation energy (eV/atom) = -1.77
- D(E_F) (states/eV/cell) = 0.000
- crystal system = monoclinic

```
data_Li2AcNdS4
_space_group_name_H-M_alt 'P 1 2/m 1'
_space_group_IT_number 10
_cell_length_a 6.6880
_cell_length_b 4.1782
_cell_length_c 7.2654
_cell_angle_alpha 90.00
_cell_angle_beta 111.35
_cell_angle_gamma 90.00
loop_
_space_group_symop_operation_xyz
'x,y,z'
'-x,-y,-z'
'-x,y,-z'
'x,-y,z'
loop_
_atom_site_label
_atom_site_type_symbol
_atom_site_fract_x
_atom_site_fract_y
_atom_site_fract_z
_atom_site_occupancy
Li1 Li 0.0000 0.0000 0.0000 1
Li2 Li 0.0000 0.5000 0.5000 1
Ac1 Ac 0.5000 0.0000 0.5000 1
Nd1 Nd 0.5000 0.5000 0.0000 1
S1 S 0.2391 0.5000 0.2342 1
S2 S 0.2422 0.0000 0.7565 1
```

***

Entry 8:
## RbGaSe2N (PBE)

Data for RbGaSe2N after structural relaxation.

Computed properties:
- polymorph energy (0 for the lowest one) (meV/atom) = 0.0
- total DFT energy (no corrections) (eV/atom) = -3.6098
- raw formation energy (eV/atom) = 0.25
- D(E_F) (states/eV/cell) = 2.632
- crystal system = tetragonal

```
data_RbGaSe2N
_space_group_name_H-M_alt 'P 4/m m m'
_space_group_IT_number 123
_space_group_name_Hall '-P 4 2'
_cell_length_a 5.9182
_cell_length_b 5.9182
_cell_length_c 3.5239
_cell_angle_alpha 90.00
_cell_angle_beta 90.00
_cell_angle_gamma 90.00
loop_
_atom_site_label
_atom_site_type_symbol
_atom_site_fract_x
_atom_site_fract_y
_atom_site_fract_z
_atom_site_occupancy
Rb1 Rb 0.0000 0.0000 0.0000 1
Ga1 Ga 0.5000 0.5000 0.5000 1
Se1 Se 0.0000 0.5000 0.5000 1
N1 N 0.5000 0.5000 0.0000 1
```